(1)
TaCr2P: optimized geometry, GGA-PBEsol.

Summary:
The formation energy is -0.177 eV/atom. Its symmetry is No. 44.

Unit cell a=3.059 b=4.005 c=4.813 alpha=114.59 beta=108.53 gamma=90.00
Fractional positions:
Cr1 0.009 0.009 0.018
Cr2 0.752 0.252 0.504
P1 0.487 0.487 0.974
Ta1 0.252 0.752 0.504

(2)
TaCrP: optimized geometry, GGA-PBEsol.

Summary:
The formation energy is -0.733 eV/atom. Its symmetry is No. 62.

Unit cell a=3.503 b=6.173 c=7.277 alpha=90.00 beta=90.00 gamma=90.00
Last column: magnetic moment on the atom in μB.
Fractional positions:
Cr1 0.250 0.145 0.441  1.17
Cr2 0.750 0.355 0.941  1.17
Cr3 0.250 0.645 0.059  1.17
Cr4 0.750 0.855 0.559  1.17
P1 0.750 0.729 0.867  -0.02
P2 0.750 0.229 0.633  -0.02
P3 0.250 0.271 0.133  -0.02
P4 0.250 0.771 0.367  -0.02
Ta1 0.750 0.970 0.172  0.00
Ta2 0.750 0.470 0.328  0.00
Ta3 0.250 0.530 0.672  0.00
Ta4 0.250 0.030 0.828  0.00

(3)
TaCr2P: optimized geometry, GGA-PBEsol.

Summary:
The formation energy is 0.160 eV/atom. Its symmetry is No. 160.

Unit cell a=2.949 b=2.949 c=7.414 alpha=78.53 beta=78.53 gamma=60.00
Fractional positions:
Cr1 0.007 0.007 0.978
Cr2 0.751 0.751 0.747
P1 0.493 0.493 0.522
Ta1 0.249 0.249 0.253

(4)
TaCrP: optimized geometry, GGA-PBEsol.

Summary:
The formation energy is -0.271 eV/atom. Its symmetry is No. 107.

Unit cell a=2.989 b=2.989 c=4.940 alpha=107.60 beta=107.60 gamma=90.02
Fractional positions:
Cr1 0.972 0.972 0.945
P1 0.360 0.360 0.720
Ta1 0.668 0.668 0.335

(5)
CrTcP4: optimized geometry, GGA-PBEsol.

Summary:
The formation energy is 0.681 eV/atom. Its symmetry is No. 216.

Unit cell a=4.821 b=4.821 c=4.821 alpha=60.00 beta=60.00 gamma=60.00
Last column: magnetic moment on the atom in μB.
Fractional positions:
Cr1 0.000 0.000 0.000  2.97
P1 0.375 0.375 0.375  -0.01
P2 0.375 0.375 0.875  -0.01
P3 0.875 0.375 0.375  -0.01
P4 0.375 0.875 0.375  -0.01
Tc1 0.750 0.750 0.750  -0.21

(6)
CrTcP2: optimized geometry, GGA-PBEsol.

Summary:
The formation energy is -0.583 eV/atom. Its symmetry is No. 44.

Unit cell a=3.035 b=3.033 c=5.915 alpha=104.86 beta=104.86 gamma=90.00
Fractional positions:
Cr1 0.207 0.707 0.413
Tc1 0.457 0.457 0.913
P1 0.050 0.050 0.100
P2 0.787 0.287 0.574

(7)
Cr2TeP: optimized geometry, GGA-PBEsol.

Summary:
Its symmetry is No. 10. The formation energy from raw total energies comes out at 20.81 kJ per mole of atoms.

Unit cell a=3.094 b=3.330 c=5.847 alpha=90.00 beta=105.63 gamma=90.00
Fractional positions:
Cr1 0.641 0.000 0.783
Cr2 0.359 0.000 0.217
P1 0.500 0.500 0.000
Te1 0.000 0.500 0.500

(8)
TiCrP: optimized geometry, GGA-PBEsol.

Summary:
The formation energy is -1.031 eV/atom. Its symmetry is No. 189.

Unit cell a=3.199 b=6.343 c=6.343 alpha=120.00 beta=90.00 gamma=90.00
Fractional positions:
Ti1 0.500 0.595 0.000
Ti2 0.500 0.405 0.405
Ti3 0.500 0.000 0.595
Cr1 0.000 0.000 0.254
Cr2 0.000 0.746 0.746
Cr3 0.000 0.254 0.000
P1 0.000 0.333 0.667
P2 0.000 0.667 0.333
P3 0.500 0.000 0.000

(9)
TiCrP3: optimized geometry, GGA-PBEsol.

Summary:
The formation energy is 0.398 eV/atom. Its symmetry is No. 221. As for the distance to the lowest polymorph of the same formula: 0.00 eV/f.u.

Unit cell a=4.382 b=4.382 c=4.382 alpha=90.00 beta=90.00 gamma=90.00
Last column: magnetic moment on the atom in μB.
Fractional positions:
Cr1 0.000 0.000 0.000  1.07
P1 0.000 0.500 0.000  -0.02
P2 0.000 0.000 0.500  -0.02
P3 0.500 0.000 0.000  -0.02
Ti1 0.500 0.500 0.500  1.35

(10)
TiCrP3: optimized geometry, GGA-PBEsol.

Summary:
The formation energy is 0.520 eV/atom. Its symmetry is No. 221. As for the distance to the lowest polymorph of the same formula: 0.61 eV/f.u.

Unit cell a=4.595 b=4.595 c=4.595 alpha=90.00 beta=90.00 gamma=90.00
Last column: magnetic moment on the atom in μB.
Fractional positions:
Cr1 0.500 0.500 0.500  4.00
P1 0.000 0.500 0.000  -0.05
P2 0.000 0.000 0.500  -0.05
P3 0.500 0.000 0.000  -0.05
Ti1 0.000 0.000 0.000  0.08

(11)
Tl2CrP: optimized geometry, GGA-PBEsol.

Summary:
The formation energy is 0.100 eV/atom. Its symmetry is No. 99. As for the distance to the lowest polymorph of the same formula: 0.00 eV/f.u.

Unit cell a=3.093 b=3.093 c=8.389 alpha=90.00 beta=90.00 gamma=90.00
Last column: magnetic moment on the atom in μB.
Fractional positions:
Cr1 0.000 0.000 0.570  1.63
P1 0.500 0.500 0.670  -0.09
Tl1 0.000 0.000 0.953  -0.01
Tl2 0.500 0.500 0.307  0.01

(12)
Tl2CrP: optimized geometry, GGA-PBEsol.

Summary:
The formation energy is 0.589 eV/atom. Its symmetry is No. 123. As for the distance to the lowest polymorph of the same formula: 1.96 eV/f.u.

Unit cell a=4.245 b=4.245 c=4.702 alpha=90.00 beta=90.00 gamma=90.00
Last column: magnetic moment on the atom in μB.
Fractional positions:
Cr1 0.500 0.500 0.500  3.84
P1 0.000 0.000 0.500  -0.09
Tl1 0.000 0.500 0.000  0.02
Tl2 0.500 0.000 0.000  0.02

(13)
TlCrP4: optimized geometry, GGA-PBEsol.

Summary:
The formation energy is 0.650 eV/atom. Its symmetry is No. 216.

Unit cell a=5.292 b=5.292 c=5.292 alpha=60.00 beta=60.00 gamma=60.00
Last column: magnetic moment on the atom in μB.
Fractional positions:
Cr1 0.000 0.000 0.000  3.82
P1 0.364 0.364 0.364  -0.01
P2 0.364 0.364 0.908  -0.01
P3 0.908 0.364 0.364  -0.01
P4 0.364 0.908 0.364  -0.01
Tl1 0.750 0.750 0.750  0.02

(14)
Tl2CrP: optimized geometry, GGA-PBEsol.

Summary:
The formation energy is 0.264 eV/atom. Its symmetry is No. 38. As for the distance to the lowest polymorph of the same formula: 0.66 eV/f.u.

Unit cell a=3.547 b=4.428 c=5.748 alpha=112.65 beta=90.00 gamma=90.00
Last column: magnetic moment on the atom in μB.
Fractional positions:
Cr1 0.000 0.695 0.390  2.76
P1 0.500 0.559 0.118  -0.11
Tl1 0.000 0.970 0.940  0.00
Tl2 0.500 0.274 0.548  -0.02

(15)
TlCr2P: optimized geometry, GGA-PBEsol.

Summary:
The formation energy is 0.146 eV/atom. Its symmetry is No. 123.

Unit cell a=2.922 b=2.922 c=6.671 alpha=90.00 beta=90.00 gamma=90.00
Fractional positions:
Cr1 0.000 0.000 0.828
Cr2 0.000 0.000 0.172
P1 0.500 0.500 0.000
Tl1 0.500 0.500 0.500

(16)
UCr5P3: optimized geometry, GGA-PBEsol.

Summary:
The formation energy is -0.574 eV/atom. Its symmetry is No. 11.

Unit cell a=3.709 b=6.636 c=9.344 alpha=98.00 beta=90.00 gamma=90.00
Last column: magnetic moment on the atom in μB.
Fractional positions:
U1 0.250 0.178 0.784  -0.44
U2 0.750 0.822 0.216  -0.44
Cr1 0.250 0.678 0.720  0.28
Cr2 0.750 0.322 0.280  0.28
Cr3 0.250 0.837 0.491  -0.05
Cr4 0.750 0.163 0.509  -0.05
Cr5 0.250 0.458 0.070  -0.07
Cr6 0.750 0.542 0.930  -0.07
Cr7 0.250 0.084 0.101  0.55
Cr8 0.750 0.916 0.899  0.55
Cr9 0.250 0.395 0.514  0.01
Cr10 0.750 0.605 0.486  0.01
P1 0.250 0.555 0.312  0.00
P2 0.750 0.445 0.688  0.00
P3 0.250 0.763 0.978  -0.01
P4 0.750 0.237 0.022  -0.01
P5 0.250 0.102 0.347  0.00
P6 0.750 0.898 0.653  0.00

(17)
CrPW2: optimized geometry, GGA-PBEsol.

Summary:
The formation energy is -0.002 eV/atom. Its symmetry is No. 44.

Unit cell a=3.006 b=4.085 c=5.021 alpha=114.00 beta=107.42 gamma=90.00
Fractional positions:
Cr1 0.515 0.015 0.030
P1 0.232 0.232 0.464
W1 0.992 0.492 0.984
W2 0.761 0.761 0.522

(18)
CrPW2: optimized geometry, GGA-PBEsol.

Summary:
The formation energy is 0.218 eV/atom. Its symmetry is No. 10.

Unit cell a=2.727 b=3.990 c=5.154 alpha=90.00 beta=103.11 gamma=90.00
Fractional positions:
Cr1 0.500 0.500 0.000
P1 0.000 0.500 0.500
W1 0.760 0.000 0.751
W2 0.240 0.000 0.249

(19)
CrPW3: optimized geometry, GGA-PBEsol.

Summary:
The formation energy is 1.117 eV/atom. Its symmetry is No. 221.

Unit cell a=4.395 b=4.395 c=4.395 alpha=90.00 beta=90.00 gamma=90.00
Last column: magnetic moment on the atom in μB.
Fractional positions:
Cr1 0.500 0.500 0.500  3.04
W1 0.000 0.500 0.000  -0.18
W2 0.000 0.000 0.500  -0.18
W3 0.500 0.000 0.000  -0.18
P1 0.000 0.000 0.000  0.00

(20)
CrP8W3: optimized geometry, GGA-PBEsol.

Summary:
The formation energy is -0.463 eV/atom. Its symmetry is No. 8.

Unit cell a=3.110 b=4.473 c=12.860 alpha=94.92 beta=90.00 gamma=110.35
Fractional positions:
Cr1 0.445 0.891 0.604
P1 0.151 0.302 0.555
P2 0.652 0.304 0.049
P3 0.347 0.695 0.945
P4 0.849 0.699 0.459
P5 0.877 0.754 0.729
P6 0.377 0.755 0.241
P7 0.620 0.240 0.754
P8 0.125 0.250 0.265
W1 0.946 0.892 0.103
W2 0.054 0.108 0.892
W3 0.556 0.112 0.403

(21)
Cr2PW: optimized geometry, GGA-PBEsol.

Summary:
The formation energy is 0.050 eV/atom. Its symmetry is No. 139.

Unit cell a=3.444 b=3.444 c=4.818 alpha=110.94 beta=110.94 gamma=90.00
Fractional positions:
Cr1 0.750 0.250 0.500
Cr2 0.250 0.750 0.500
P1 0.500 0.500 0.000
W1 0.000 0.000 0.000

(22)
CrPW2: optimized geometry, GGA-PBEsol.

Summary:
The formation energy is 0.299 eV/atom. Its symmetry is No. 166.

Unit cell a=2.889 b=2.889 c=7.926 alpha=79.50 beta=79.50 gamma=60.00
Fractional positions:
Cr1 0.500 0.500 0.500
P1 0.000 0.000 0.000
W1 0.251 0.251 0.246
W2 0.749 0.749 0.754

(23)
CrP4W: optimized geometry, GGA-PBEsol.

Summary:
The formation energy is 0.765 eV/atom. Its symmetry is No. 216.

Unit cell a=4.828 b=4.828 c=4.828 alpha=60.00 beta=60.00 gamma=60.00
Last column: magnetic moment on the atom in μB.
Fractional positions:
Cr1 0.000 0.000 0.000  2.57
P1 0.375 0.375 0.375  -0.01
P2 0.375 0.375 0.875  -0.01
P3 0.875 0.375 0.375  -0.01
P4 0.375 0.875 0.375  -0.01
W1 0.750 0.750 0.750  -0.34

(24)
CrPW2: optimized geometry, GGA-PBEsol.

Summary:
The formation energy is 0.084 eV/atom. Its symmetry is No. 71.

Unit cell a=3.110 b=4.254 c=4.851 alpha=116.01 beta=108.70 gamma=90.00
Last column: magnetic moment on the atom in μB.
Fractional positions:
Cr1 0.500 0.000 0.000  0.52
P1 0.000 0.500 0.000  -0.01
W1 0.745 0.745 0.490  -0.02
W2 0.255 0.255 0.510  -0.02

(25)
Cr2PW: optimized geometry, GGA-PBEsol.

Summary:
The formation energy is 0.225 eV/atom. Its symmetry is No. 160.

Unit cell a=2.777 b=2.777 c=7.818 alpha=79.77 beta=79.77 gamma=60.00
Fractional positions:
Cr1 0.008 0.008 0.975
Cr2 0.750 0.750 0.751
P1 0.494 0.494 0.519
W1 0.248 0.248 0.255

(26)
CrPW: optimized geometry, GGA-PBEsol.

Summary:
The formation energy is -0.087 eV/atom. Its symmetry is No. 156.

Unit cell a=2.799 b=3.974 c=3.974 alpha=120.00 beta=90.00 gamma=90.00
Fractional positions:
Cr1 0.809 0.000 0.000
P1 0.825 0.333 0.667
W1 0.365 0.667 0.333

(27)
ZnCr3P: optimized geometry, GGA-PBEsol.

Summary:
The formation energy is 1.522 eV/atom. Its symmetry is No. 221. As for the distance to the lowest polymorph of the same formula: 4.78 eV/f.u.

Unit cell a=4.481 b=4.481 c=4.481 alpha=90.00 beta=90.00 gamma=90.00
Last column: magnetic moment on the atom in μB.
Fractional positions:
Cr1 0.000 0.500 0.000  3.11
Cr2 0.000 0.000 0.500  3.11
Cr3 0.500 0.000 0.000  3.11
Zn1 0.000 0.000 0.000  0.01
P1 0.500 0.500 0.500  -0.23

(28)
ZnCr4P: optimized geometry, GGA-PBEsol.

Summary:
The formation energy is 0.389 eV/atom. Its symmetry is No. 216.

Unit cell a=4.671 b=4.671 c=4.671 alpha=60.00 beta=60.00 gamma=60.00
Fractional positions:
Cr1 0.374 0.374 0.374
Cr2 0.374 0.374 0.877
Cr3 0.877 0.374 0.374
Cr4 0.374 0.877 0.374
P1 0.750 0.750 0.750
Zn1 0.000 0.000 0.000